! CaMnBiF6 PBE+U relaxed; values from VASP
&SYSTEM
  ibrav = 0, nat = 18, ntyp = 4
/
ATOMIC_SPECIES
Ca 40.08 Ca.upf
Mn 54.94 Mn.upf
Bi 208.98 Bi.upf
F 19.00 F.upf
ATOMIC_POSITIONS crystal
Ca 0.333 0.667 0.250
Ca 0.667 0.333 0.750
Mn 0.333 0.667 0.750
Mn 0.667 0.333 0.250
Bi 0.000 0.000 0.000
Bi 0.000 0.000 0.500
F 0.019 0.369 0.620
F 0.019 0.650 0.880
F 0.350 0.369 0.880
F 0.350 0.981 0.620
F 0.369 0.019 0.120
F 0.369 0.350 0.380
F 0.631 0.650 0.620
F 0.631 0.981 0.880
F 0.650 0.019 0.380
F 0.650 0.631 0.120
F 0.981 0.350 0.120
F 0.981 0.631 0.380
CELL_PARAMETERS angstrom
6.269 0.000 0.000
-3.135 5.429 0.000
0.000 0.000 7.803
! Raw total energy, eV per atom: -5.476
! Crystal system: trigonal